[1]
A plane-wave DFT calculation with PBE was carried out for an optimized crystal structure of CeNbGa4.

Lattice parameters (Å, degrees): 5.3770 5.3770 5.3770 60.00 60.00 60.00
Closest atoms and distances in Å follow each position.
Fractional positions:
Ce 0.0000 0.0000 0.0000  12 Ga 3.15, 4 Nb 3.29
Nb 0.7500 0.7500 0.7500  12 Ga 3.15, 4 Ce 3.29
Ga 0.3756 0.3756 0.3756  6 Ga 2.68-2.70
Ga 0.3756 0.3756 0.8732  6 Ga 2.68-2.70
Ga 0.3756 0.8732 0.3756  6 Ga 2.68-2.70
Ga 0.8732 0.3756 0.3756  6 Ga 2.68-2.70

Computed properties:
Its symmetry is No. 216. The value obtained for the energy relative to the elements is -253 meV/atom. As for the energy above the most stable polymorph in this dataset: 0.132 eV per atom.

=====

[2]
A plane-wave DFT calculation with PBE was carried out for an optimized crystal structure of Ce2NbGa2Ru5.

Lattice parameters (Å, degrees): 10.1957 10.1957 3.3486 90.00 90.00 90.00
Closest atoms and distances in Å follow each position.
Fractional positions:
Ce 0.1716 0.3284 0.0000  3 Ga 2.91-3.08, 10 Ru 2.99-3.23
Ce 0.3284 0.8284 0.0000  3 Ga 2.91-3.08, 10 Ru 2.99-3.23
Ce 0.6716 0.1716 0.0000  3 Ga 2.91-3.08, 10 Ru 2.99-3.23
Ce 0.8284 0.6716 0.0000  3 Ga 2.91-3.08, 10 Ru 2.99-3.23
Nb 0.0000 0.0000 0.0000  8 Ru 2.73
Nb 0.5000 0.5000 0.0000  8 Ru 2.73
Ga 0.1267 0.6267 0.0000  6 Ru 2.48-2.50
Ga 0.3733 0.1267 0.0000  6 Ru 2.48-2.50
Ga 0.6267 0.8733 0.0000  6 Ru 2.48-2.50
Ga 0.8733 0.3733 0.0000  6 Ru 2.48-2.50
Ru 0.0000 0.5000 0.5000  4 Ga 2.48
Ru 0.0668 0.7992 0.5000  2 Ga 2.50, 2 Nb 2.73
Ru 0.2008 0.0668 0.5000  2 Ga 2.50, 2 Nb 2.73
Ru 0.2992 0.5668 0.5000  2 Ga 2.50, 2 Nb 2.73
Ru 0.4332 0.2992 0.5000  2 Ga 2.50, 2 Nb 2.73
Ru 0.5000 0.0000 0.5000  4 Ga 2.48
Ru 0.5668 0.7008 0.5000  2 Ga 2.50, 2 Nb 2.73
Ru 0.7008 0.4332 0.5000  2 Ga 2.50, 2 Nb 2.73
Ru 0.7992 0.9332 0.5000  2 Ga 2.50, 2 Nb 2.73
Ru 0.9332 0.2008 0.5000  2 Ga 2.50, 2 Nb 2.73

Computed properties:
Its symmetry is No. 127. The value obtained for the energy relative to the elements is -359 meV/atom.

=====

[3]
A plane-wave DFT calculation with PBE was carried out for an optimized crystal structure of Ce2NdGa.

Lattice parameters (Å, degrees): 4.5977 4.5977 4.9624 90.00 90.00 90.00
Closest atoms and distances in Å follow each position.
Fractional positions:
Ce 0.0000 0.5000 0.0000  4 Ce 3.25, 4 Nd 3.38, 4 Ga 3.38
Ce 0.5000 0.0000 0.0000  4 Ce 3.25, 4 Nd 3.38, 4 Ga 3.38
Nd 0.0000 0.0000 0.5000  4 Ga 3.25, 8 Ce 3.38
Ga 0.5000 0.5000 0.5000  4 Nd 3.25, 8 Ce 3.38

Computed properties:
Its symmetry is No. 123. The value obtained for the energy relative to the elements is -213 meV/atom. As for the energy above the most stable polymorph in this dataset: 0.067 eV per atom.

=====

[4]
A plane-wave DFT calculation with PBE was carried out for an optimized crystal structure of Ce4NdGa3.

Lattice parameters (Å, degrees): 9.8201 9.8201 4.6771 102.71 102.71 26.47
Closest atoms and distances in Å follow each position.
Fractional positions:
Ce 0.1373 0.1373 0.0856  2 Ce 2.89, 4 Ga 3.13-3.14
Ce 0.3625 0.3625 0.3017  2 Ce 2.89, 4 Ga 3.11-3.17
Ce 0.6375 0.6375 0.6983  2 Ce 2.89, 4 Ga 3.11-3.17
Ce 0.8627 0.8627 0.9144  2 Ce 2.89, 4 Ga 3.13-3.14
Nd 0.0000 0.0000 0.5000  4 Ga 3.24, 8 Ce 3.34-3.60
Ga 0.2496 0.2496 0.6915  2 Ga 2.88, 8 Ce 3.11-3.17
Ga 0.5000 0.5000 0.0000  4 Nd 3.24, 6 Ce 3.25-3.41
Ga 0.7504 0.7504 0.3085  2 Ga 2.88, 8 Ce 3.11-3.17

Computed properties:
Its symmetry is No. 12. The value obtained for the energy relative to the elements is -340 meV/atom.

=====

[5]
A plane-wave DFT calculation with PBE was carried out for an optimized crystal structure of CeNd4Ga4.

Lattice parameters (Å, degrees): 8.7681 8.7681 6.0111 90.00 90.00 90.00
Closest atoms and distances in Å follow each position.
Fractional positions:
Ce 0.2500 0.2500 0.2500  4 Nd 2.96, 4 Ga 3.07
Ce 0.7500 0.7500 0.7500  4 Nd 2.96, 4 Ga 3.07
Nd 0.0713 0.8222 0.6390  1 Ce 2.96, 4 Ga 3.11-3.28
Nd 0.1778 0.5713 0.1390  1 Ce 2.96, 4 Ga 3.11-3.28
Nd 0.3222 0.9287 0.1390  1 Ce 2.96, 4 Ga 3.11-3.28
Nd 0.4287 0.6778 0.6390  1 Ce 2.96, 4 Ga 3.11-3.28
Nd 0.5713 0.3222 0.3610  1 Ce 2.96, 4 Ga 3.11-3.28
Nd 0.6778 0.0713 0.8610  1 Ce 2.96, 4 Ga 3.11-3.28
Nd 0.8222 0.4287 0.8610  1 Ce 2.96, 4 Ga 3.11-3.28
Nd 0.9287 0.1778 0.3610  1 Ce 2.96, 4 Ga 3.11-3.28
Ga 0.0539 0.1599 0.8477  2 Ga 2.92, 1 Ce 3.07, 3 Nd 3.11-3.22
Ga 0.1599 0.4461 0.6523  2 Ga 2.92, 1 Ce 3.07, 3 Nd 3.11-3.22
Ga 0.3401 0.0539 0.6523  2 Ga 2.92, 1 Ce 3.07, 3 Nd 3.11-3.22
Ga 0.4461 0.3401 0.8477  2 Ga 2.92, 1 Ce 3.07, 3 Nd 3.11-3.22
Ga 0.5539 0.6599 0.1523  2 Ga 2.92, 1 Ce 3.07, 3 Nd 3.11-3.22
Ga 0.6599 0.9461 0.3477  2 Ga 2.92, 1 Ce 3.07, 3 Nd 3.11-3.22
Ga 0.8401 0.5539 0.3477  2 Ga 2.92, 1 Ce 3.07, 3 Nd 3.11-3.22
Ga 0.9461 0.8401 0.1523  2 Ga 2.92, 1 Ce 3.07, 3 Nd 3.11-3.22

Computed properties:
Its symmetry is No. 86. The value obtained for the energy relative to the elements is -298 meV/atom.

=====

[6]
A plane-wave DFT calculation with PBE was carried out for an optimized crystal structure of CeNd4Ga5.

Lattice parameters (Å, degrees): 3.6731 3.6731 18.5710 90.00 90.00 90.00
Closest atoms and distances in Å follow each position.
Fractional positions:
Ce 0.0000 0.0000 0.0000  8 Ga 3.19
Nd 0.0000 0.0000 0.1995  8 Ga 3.19
Nd 0.0000 0.0000 0.3996  8 Ga 3.20
Nd 0.0000 0.0000 0.6004  8 Ga 3.20
Nd 0.0000 0.0000 0.8005  8 Ga 3.19
Ga 0.5000 0.5000 0.0997  4 Ce 3.19, 4 Nd 3.19
Ga 0.5000 0.5000 0.2992  8 Nd 3.19-3.20
Ga 0.5000 0.5000 0.5000  8 Nd 3.20
Ga 0.5000 0.5000 0.7008  8 Nd 3.19-3.20
Ga 0.5000 0.5000 0.9003  4 Ce 3.19, 4 Nd 3.19

Computed properties:
Its symmetry is No. 123. The value obtained for the energy relative to the elements is -532 meV/atom.

=====

[7]
A plane-wave DFT calculation with PBE was carried out for an optimized crystal structure of Ce2NdGa3.

Lattice parameters (Å, degrees): 3.7866 3.7866 10.1165 90.00 90.00 90.00
Closest atoms and distances in Å follow each position.
Fractional positions:
Ce 0.0000 0.0000 0.1461  1 Ce 2.96, 8 Ga 3.06-3.21
Ce 0.0000 0.0000 0.8539  1 Ce 2.96, 8 Ga 3.06-3.21
Nd 0.0000 0.0000 0.5000  8 Ga 3.23, 2 Ce 3.58
Ga 0.5000 0.5000 0.0000  8 Ce 3.06, 2 Ga 3.25
Ga 0.5000 0.5000 0.3214  4 Ce 3.21, 4 Nd 3.23, 1 Ga 3.25
Ga 0.5000 0.5000 0.6786  4 Ce 3.21, 4 Nd 3.23, 1 Ga 3.25

Computed properties:
Its symmetry is No. 123. The value obtained for the energy relative to the elements is -475 meV/atom.

=====

[8]
A plane-wave DFT calculation with PBE was carried out for an optimized crystal structure of Ce4NdGa4.

Lattice parameters (Å, degrees): 8.5717 8.5717 5.9634 90.00 90.00 90.00
Closest atoms and distances in Å follow each position.
Fractional positions:
Ce 0.0965 0.8156 0.1251  1 Ce 2.86, 3 Ga 3.05-3.12, 1 Nd 3.11
Ce 0.1844 0.5965 0.6251  1 Ce 2.86, 3 Ga 3.05-3.12, 1 Nd 3.11
Ce 0.3156 0.9035 0.6251  1 Ce 2.86, 3 Ga 3.05-3.12, 1 Nd 3.11
Ce 0.4035 0.6844 0.1251  1 Ce 2.86, 3 Ga 3.05-3.12, 1 Nd 3.11
Ce 0.5965 0.3156 0.8749  1 Ce 2.86, 3 Ga 3.05-3.12, 1 Nd 3.11
Ce 0.6844 0.0965 0.3749  1 Ce 2.86, 3 Ga 3.05-3.12, 1 Nd 3.11
Ce 0.8156 0.4035 0.3749  1 Ce 2.86, 3 Ga 3.05-3.12, 1 Nd 3.11
Ce 0.9035 0.1844 0.8749  1 Ce 2.86, 3 Ga 3.05-3.12, 1 Nd 3.11
Nd 0.2500 0.2500 0.7500  4 Ga 3.07, 4 Ce 3.11
Nd 0.7500 0.7500 0.2500  4 Ga 3.07, 4 Ce 3.11
Ga 0.0571 0.1425 0.3448  3 Ga 2.91-3.22, 4 Ce 3.05-3.22, 1 Nd 3.07
Ga 0.1425 0.4429 0.1552  3 Ga 2.91-3.22, 4 Ce 3.05-3.22, 1 Nd 3.07
Ga 0.3575 0.0571 0.1552  3 Ga 2.91-3.22, 4 Ce 3.05-3.22, 1 Nd 3.07
Ga 0.4429 0.3575 0.3448  3 Ga 2.91-3.22, 4 Ce 3.05-3.22, 1 Nd 3.07
Ga 0.5571 0.6425 0.6552  3 Ga 2.91-3.22, 4 Ce 3.05-3.22, 1 Nd 3.07
Ga 0.6425 0.9429 0.8448  3 Ga 2.91-3.22, 4 Ce 3.05-3.22, 1 Nd 3.07
Ga 0.8575 0.5571 0.8448  3 Ga 2.91-3.22, 4 Ce 3.05-3.22, 1 Nd 3.07
Ga 0.9429 0.8575 0.6552  3 Ga 2.91-3.22, 4 Ce 3.05-3.22, 1 Nd 3.07

Computed properties:
Its symmetry is No. 86. The value obtained for the energy relative to the elements is -271 meV/atom.